P.
Pr4Y7Sc: relaxed, PBE.

Cell lengths 6.8625, 6.5807, 10.9930 Å; angles 84.28, 55.70, 97.66 degrees
Sites, in units of the cell vectors:
1 Pr 0.4079 0.6356 0.2826
2 Pr 0.5921 0.3644 0.7174
3 Pr 0.4149 0.8447 0.6970
4 Pr 0.5851 0.1553 0.3030
5 Y 0.7987 0.5204 0.9528
6 Y 0.2013 0.4796 0.0472
7 Y 0.1578 0.3145 0.6492
8 Y 0.8422 0.6855 0.3508
9 Y 0.9840 0.8117 0.6188
10 Y 0.5000 0.0000 0.0000
11 Y 0.0160 0.1883 0.3812
12 Sc 0.0000 0.0000 0.0000

Results
The value obtained for the density of states at the Fermi level is 19.81 states/eV/f.u. The value obtained for the mass density is 5.1 Mg/m³. For the total magnetic moment, the calculation gives 0.00 μB/cell.



Q.
Pr4Y7Sc: relaxed, PBE.

Cell lengths 5.3783, 13.3672, 6.3853 Å; angles 94.79, 65.09, 78.39 degrees
Site moments in Bohr magnetons follow the coordinates.
Sites, in units of the cell vectors:
1 Pr 0.7460 0.2159 0.2921  0.00
2 Pr 0.2540 0.7841 0.7079  0.00
3 Pr 0.5829 0.7382 0.0960  0.00
4 Pr 0.4171 0.2618 0.9040  0.00
5 Y 0.8336 0.9007 0.4321  0.01
6 Y 0.1664 0.0993 0.5679  0.01
7 Y 0.9590 0.6291 0.4529  0.00
8 Y 0.0410 0.3709 0.5471  0.00
9 Y 0.3278 0.5347 0.8098  0.00
10 Y 0.5000 0.0000 0.0000  0.13
11 Y 0.6722 0.4653 0.1902  0.00
12 Sc 0.0000 0.0000 0.0000  0.18

Results
The value obtained for the density of states at the Fermi level is 17.30 states/eV/f.u. The value obtained for the mass density is 5.1 Mg/m³. For the total magnetic moment, the calculation gives 0.35 μB/cell.



Q: Which of them is the most stable? A: P.



P.
Pr4Y5Sc: relaxed, PBE.

Cell lengths 3.6174, 3.6174, 25.2072 Å; angles 90.00, 90.00, 90.00 degrees
Sites, in units of the cell vectors:
1 Pr 0.0000 0.0000 0.1927
2 Pr 0.0000 0.0000 0.3976
3 Pr 0.0000 0.0000 0.6024
4 Pr 0.0000 0.0000 0.8073
5 Y 0.5000 0.5000 0.0887
6 Y 0.5000 0.5000 0.2947
7 Y 0.5000 0.5000 0.5000
8 Y 0.5000 0.5000 0.7053
9 Y 0.5000 0.5000 0.9113
10 Sc 0.0000 0.0000 0.0000

Results
The value obtained for the density of states at the Fermi level is 15.69 states/eV/f.u. The value obtained for the mass density is 5.3 Mg/m³. For the total magnetic moment, the calculation gives 0.00 μB/cell.



Q.
Pr4Y5Sc: relaxed, PBE.

Cell lengths 3.5396, 11.1662, 8.8264 Å; angles 88.25, 101.52, 89.98 degrees
Sites, in units of the cell vectors:
1 Pr 0.6588 0.2533 0.3208
2 Pr 0.9737 0.2420 0.9477
3 Pr 0.3412 0.7467 0.6792
4 Pr 0.0263 0.7580 0.0523
5 Y 0.1727 0.5597 0.3468
6 Y 0.1686 0.9528 0.3381
7 Y 0.8314 0.0472 0.6619
8 Y 0.5000 0.5000 0.0000
9 Y 0.8273 0.4403 0.6532
10 Sc 0.5000 0.0000 0.0000

Results
The value obtained for the density of states at the Fermi level is 15.35 states/eV/f.u. The value obtained for the mass density is 5.1 Mg/m³. For the total magnetic moment, the calculation gives 0.00 μB/cell.



Q: Which of them is the most stable? A: P.



P.
Pr3Y3Sc: relaxed, PBE.

Cell lengths 6.6666, 6.6666, 10.6275 Å; angles 90.38, 90.38, 94.54 degrees
Sites, in units of the cell vectors:
1 Pr 0.6738 0.6738 0.0763
2 Pr 0.8717 0.5186 0.7476
3 Pr 0.5186 0.8717 0.7476
4 Pr 0.1283 0.4814 0.2524
5 Pr 0.4814 0.1283 0.2524
6 Pr 0.3262 0.3262 0.9237
7 Y 0.6729 0.6729 0.4312
8 Y 0.1829 0.8171 0.5000
9 Y 0.8171 0.1829 0.5000
10 Y 0.1788 0.8212 0.0000
11 Y 0.8212 0.1788 0.0000
12 Y 0.3271 0.3271 0.5688
13 Sc 0.0259 0.0259 0.7478
14 Sc 0.9741 0.9741 0.2522

Results
The value obtained for the density of states at the Fermi level is 13.51 states/eV/f.u. The value obtained for the mass density is 5.2 Mg/m³. For the total magnetic moment, the calculation gives 0.00 μB/cell.



Q.
Pr3Y3Sc: relaxed, PBE.

Cell lengths 5.7367, 9.6555, 9.6555 Å; angles 120.00, 90.00, 90.00 degrees
Sites, in units of the cell vectors:
1 Pr 0.7500 0.4803 0.3822
2 Pr 0.7500 0.9019 0.5197
3 Pr 0.2500 0.3822 0.9019
4 Pr 0.7500 0.6178 0.0981
5 Pr 0.2500 0.0981 0.4803
6 Pr 0.2500 0.5197 0.6178
7 Y 0.7500 0.1877 0.9485
8 Y 0.7500 0.7609 0.8123
9 Y 0.2500 0.9485 0.7609
10 Y 0.7500 0.0515 0.2391
11 Y 0.2500 0.2391 0.1877
12 Y 0.2500 0.8123 0.0515
13 Sc 0.2500 0.6667 0.3333
14 Sc 0.7500 0.3333 0.6667

Results
The value obtained for the density of states at the Fermi level is 14.34 states/eV/f.u. The value obtained for the mass density is 5.3 Mg/m³. For the total magnetic moment, the calculation gives 0.00 μB/cell.



Q: Which of them is the most stable? A: Q.



P.
PrY4Sc: relaxed, PBE.

Cell lengths 3.4402, 5.9426, 10.1685 Å; angles 85.40, 80.26, 73.17 degrees
Sites, in units of the cell vectors:
1 Pr 0.5000 0.5000 0.5000
2 Y 0.6567 0.5363 0.1502
3 Y 0.3433 0.4637 0.8498
4 Y 0.1537 0.0276 0.6650
5 Y 0.8463 0.9724 0.3350
6 Sc 0.0000 0.0000 0.0000

Results
The value obtained for the density of states at the Fermi level is 12.88 states/eV/f.u. The value obtained for the mass density is 4.6 Mg/m³. For the total magnetic moment, the calculation gives 0.00 μB/cell.



Q.
PrY4Sc: relaxed, PBE.

Cell lengths 5.0094, 5.0095, 9.0333 Å; angles 90.00, 90.00, 90.00 degrees
Sites, in units of the cell vectors:
1 Pr 0.9973 0.0013 0.5019
2 Y 0.9973 0.5013 0.7926
3 Y 0.9973 0.5013 0.2111
4 Y 0.4973 0.0013 0.2111
5 Y 0.4973 0.0013 0.7926
6 Sc 0.4973 0.5013 0.0019

Results
The value obtained for the density of states at the Fermi level is 10.33 states/eV/f.u. The value obtained for the mass density is 4.0 Mg/m³. For the total magnetic moment, the calculation gives 0.00 μB/cell.



Q: Which of them is the most stable? A: P.